No. 1
{
  "formula": "SrLi9Cu3",
  "functional": "PBE-GGA",
  "state": "relaxed",
  "formation_energy_kj_per_mol_atoms": 0.0,
  "cell": [[2.612, -6.732, 0.000], [2.612, 6.732, 0.000], [-2.384, 0.000, 6.748]],
  "species": ["Sr", "Li", "Li", "Li", "Li", "Li", "Li", "Li", "Li", "Li", "Cu", "Cu", "Cu"],
  "frac_coords": [[0.000, 0.000, 0.000], [0.023, 0.661, 0.653], [0.263, 0.503, 0.773], [0.339, 0.977, 0.347], [0.497, 0.737, 0.227], [0.500, 0.500, 0.500], [0.503, 0.263, 0.773], [0.661, 0.023, 0.653], [0.737, 0.497, 0.227], [0.977, 0.339, 0.347], [0.000, 0.000, 0.500], [0.000, 0.500, 0.000], [0.500, 0.000, 0.000]]
}

***

No. 2
{
  "formula": "Na3AcC4O12",
  "functional": "PBE-GGA",
  "state": "relaxed",
  "e_form_raw_mev_per_atom": -1736,
  "cell": [[5.119, 2.955, 3.031], [-5.119, 2.955, 3.031], [0.000, -5.911, 3.031]],
  "species": ["Na", "Na", "Na", "Ac", "C", "C", "C", "C", "O", "O", "O", "O", "O", "O", "O", "O", "O", "O", "O", "O"],
  "frac_coords": [[0.000, 0.540, 0.460], [0.460, 0.000, 0.540], [0.540, 0.460, 0.000], [0.000, 0.000, 0.000], [0.041, 0.500, 0.959], [0.500, 0.500, 0.500], [0.500, 0.959, 0.041], [0.959, 0.041, 0.500], [0.043, 0.631, 0.837], [0.084, 0.916, 0.500], [0.163, 0.369, 0.957], [0.369, 0.957, 0.163], [0.375, 0.625, 0.500], [0.500, 0.084, 0.916], [0.500, 0.375, 0.625], [0.625, 0.500, 0.375], [0.631, 0.837, 0.043], [0.837, 0.043, 0.631], [0.916, 0.500, 0.084], [0.957, 0.163, 0.369]]
}

***

No. 3
{
  "formula": "KAsI2",
  "functional": "PBE-GGA",
  "state": "relaxed",
  "e_above_lowest_polymorph_ev_per_atom": 0.239,
  "e_form_raw_mev_per_atom": -99,
  "cell": [[8.292, 0.000, 0.000], [0.000, 8.292, 0.000], [0.000, 0.000, 8.292]],
  "species": ["K", "K", "K", "K", "As", "As", "As", "As", "I", "I", "I", "I", "I", "I", "I", "I"],
  "frac_coords": [[0.000, 0.000, 0.000], [0.000, 0.500, 0.500], [0.500, 0.000, 0.500], [0.500, 0.500, 0.000], [0.000, 0.000, 0.500], [0.000, 0.500, 0.000], [0.500, 0.000, 0.000], [0.500, 0.500, 0.500], [0.250, 0.250, 0.250], [0.250, 0.250, 0.750], [0.250, 0.750, 0.250], [0.250, 0.750, 0.750], [0.750, 0.250, 0.250], [0.750, 0.250, 0.750], [0.750, 0.750, 0.250], [0.750, 0.750, 0.750]]
}

***

No. 4
{
  "formula": "Tl2Ag2AuI6",
  "functional": "PBE-GGA",
  "state": "relaxed",
  "e_form_raw_mev_per_atom": -291,
  "cell": [[8.333, -3.983, 0.000], [8.333, 3.983, 0.000], [-2.414, 0.000, 6.709]],
  "species": ["Tl", "Tl", "Ag", "Ag", "Au", "I", "I", "I", "I", "I", "I"],
  "frac_coords": [[0.245, 0.245, 0.192], [0.755, 0.755, 0.808], [0.456, 0.456, 0.776], [0.544, 0.544, 0.224], [0.000, 0.000, 0.500], [0.168, 0.686, 0.212], [0.285, 0.285, 0.692], [0.314, 0.832, 0.788], [0.686, 0.168, 0.212], [0.715, 0.715, 0.308], [0.832, 0.314, 0.788]]
}

***

No. 5
{
  "formula": "SrCaAg2",
  "functional": "PBE-GGA",
  "state": "relaxed",
  "formation_energy_kj_per_mol_atoms": -29.4,
  "cell": [[4.153, 0.000, 0.000], [0.000, 4.856, 0.000], [-2.055, 0.000, 5.871]],
  "species": ["Sr", "Ca", "Ag", "Ag"],
  "frac_coords": [[0.000, 0.000, 0.000], [0.280, 0.500, 0.562], [0.574, 0.500, 0.149], [0.718, 0.000, 0.438]]
}

***

No. 6
{
  "formula": "TaPbCl2",
  "functional": "PBE-GGA",
  "state": "relaxed",
  "e_above_lowest_polymorph_ev_per_atom": 0.422,
  "e_form_raw_mev_per_atom": -66,
  "cell": [[3.407, 0.000, 0.000], [0.000, 5.728, 0.000], [0.000, 0.000, 9.773]],
  "species": ["Ta", "Ta", "Pb", "Pb", "Cl", "Cl", "Cl", "Cl"],
  "frac_coords": [[0.000, 0.000, 0.000], [0.500, 0.500, 0.000], [0.000, 0.500, 0.743], [0.500, 0.000, 0.743], [0.000, 0.000, 0.518], [0.000, 0.500, 0.184], [0.500, 0.000, 0.184], [0.500, 0.500, 0.518]]
}

***

No. 7
{
  "formula": "NaBi2As2",
  "functional": "PBE-GGA",
  "state": "relaxed",
  "e_above_lowest_polymorph_ev_per_atom": 0.000,
  "formation_energy_kj_per_mol_atoms": -11.6,
  "cell": [[4.296, 0.000, 0.000], [-2.148, 3.720, 0.000], [0.000, 0.000, 28.856]],
  "species": ["Na", "Na", "Na", "Bi", "Bi", "Bi", "Bi", "Bi", "Bi", "As", "As", "As", "As", "As", "As"],
  "frac_coords": [[0.000, 0.000, 0.000], [0.333, 0.667, 0.667], [0.667, 0.333, 0.333], [0.000, 0.000, 0.215], [0.000, 0.000, 0.785], [0.333, 0.667, 0.451], [0.333, 0.667, 0.882], [0.667, 0.333, 0.118], [0.667, 0.333, 0.549], [0.000, 0.000, 0.403], [0.000, 0.000, 0.597], [0.333, 0.667, 0.070], [0.333, 0.667, 0.263], [0.667, 0.333, 0.737], [0.667, 0.333, 0.930]]
}

***

No. 8
{
  "formula": "TmTe2PbO8",
  "functional": "PBE-GGA",
  "state": "relaxed",
  "e_form_raw_mev_per_atom": -1397,
  "cell": [[6.040, 0.000, 0.000], [-3.020, 5.231, 0.000], [0.000, 0.000, 7.194]],
  "species": ["Tm", "Te", "Te", "Pb", "O", "O", "O", "O", "O", "O", "O", "O"],
  "frac_coords": [[0.000, 0.000, 0.000], [0.333, 0.667, 0.276], [0.667, 0.333, 0.724], [0.000, 0.000, 0.500], [0.158, 0.316, 0.205], [0.158, 0.842, 0.205], [0.316, 0.158, 0.795], [0.333, 0.667, 0.531], [0.667, 0.333, 0.469], [0.684, 0.842, 0.205], [0.842, 0.158, 0.795], [0.842, 0.684, 0.795]]
}